1.
Here is FeSb2Mo at its PBEsol-relaxed geometry from Alexandria. Energies are from meta-GGA SCAN.

- Energy above the lowest structure with this stoichiometry: 63 meV per atom
- Fermi-level density of states: 2.8 states/eV/cell
- Energy relative to the elements, uncorrected: 2.300 eV/f.u.
- Magnetic moment: 0.37 μB/atom

Lattice parameters (Å, degrees): 3.8398 3.8398 5.5410 110.27 110.27 90.00
Closest atoms and distances in Å follow each position.
Fractional coordinates of all 4 atoms:
Fe (0.5000, 0.5000, 0.0000)  4 Sb 2.72
Mo (0.2500, 0.7500, 0.5000)  4 Sb 2.72
Sb (0.0000, 0.0000, 0.0000)  4 Fe 2.72
Sb (0.7500, 0.2500, 0.5000)  4 Mo 2.72



2.
Here is ScFe4Mo at its PBEsol-relaxed geometry from Alexandria. Energies are from meta-GGA SCAN.

- Fermi-level density of states: 4.7 states/eV/cell
- Calculated formation energy: 0.016 eV/atom
- Magnetic moment: 1.08 μB/atom

Lattice parameters (Å, degrees): 4.7264 4.7264 4.7264 60.00 60.00 60.00
Closest atoms and distances in Å follow each position.
Fractional coordinates of all 6 atoms:
Fe (0.3747, 0.3747, 0.3747)  6 Fe 2.36-2.37
Fe (0.3747, 0.3747, 0.8759)  6 Fe 2.36-2.37
Fe (0.8759, 0.3747, 0.3747)  6 Fe 2.36-2.37
Fe (0.3747, 0.8759, 0.3747)  6 Fe 2.36-2.37
Mo (0.7500, 0.7500, 0.7500)  12 Fe 2.77, 4 Sc 2.89
Sc (0.0000, 0.0000, 0.0000)  12 Fe 2.77, 4 Mo 2.89



3.
Here is Sc2FeTcMo at its PBEsol-relaxed geometry from Alexandria. Energies are from meta-GGA SCAN.

- Fermi-level density of states: 4.7 states/eV/cell
- Calculated formation energy: 0.781 eV/atom
- Magnetic moment: 0.24 μB/atom

Lattice parameters (Å, degrees): 4.3597 4.5426 4.5426 90.00 90.00 90.00
Closest atoms and distances in Å follow each position.
Fractional coordinates of all 5 atoms:
Sc (0.0000, 0.0000, 0.5000)  2 Fe 2.27
Sc (0.0000, 0.5000, 0.0000)  2 Fe 2.27
Mo (0.5000, 0.0000, 0.0000)  2 Fe 2.18
Tc (0.5000, 0.5000, 0.5000)  8 Sc 3.15, 4 Mo 3.21
Fe (0.0000, 0.0000, 0.0000)  2 Mo 2.18, 4 Sc 2.27



4.
Here is Fe2MoSe at its PBEsol-relaxed geometry from Alexandria. Energies are from meta-GGA SCAN.

- Fermi-level density of states: 2.9 states/eV/cell
- Energy relative to the elements, uncorrected: 1.196 eV/f.u.
- Magnetic moment: 1.33 μB/atom

Lattice parameters (Å, degrees): 2.9099 2.9099 7.7979 79.25 79.25 60.00
Closest atoms and distances in Å follow each position.
Fractional coordinates of all 4 atoms:
Fe (0.0030, 0.0030, 0.9912)  3 Fe 2.41, 3 Se 2.57
Fe (0.7454, 0.7454, 0.7637)  3 Fe 2.41, 3 Mo 2.62
Mo (0.5003, 0.5003, 0.4991)  3 Se 2.56, 3 Fe 2.62
Se (0.2513, 0.2513, 0.2460)  3 Mo 2.56, 3 Fe 2.57



5.
Here is FeMoSe3 at its PBEsol-relaxed geometry from Alexandria. Energies are from meta-GGA SCAN.

- Fermi-level density of states: 4.8 states/eV/cell
- Energy relative to the elements, uncorrected: 3.041 eV/f.u.
- Magnetic moment: 0.86 μB/atom

Lattice parameters (Å, degrees): 4.8522 4.8522 4.8522 90.00 90.00 90.00
Closest atoms and distances in Å follow each position.
Fractional coordinates of all 5 atoms:
Mo (0.0000, 0.0000, 0.0000)  6 Se 2.43
Fe (0.5000, 0.5000, 0.5000)  12 Se 3.43
Se (0.0000, 0.5000, 0.0000)  2 Mo 2.43
Se (0.0000, 0.0000, 0.5000)  2 Mo 2.43
Se (0.5000, 0.0000, 0.0000)  2 Mo 2.43



6.
Here is Fe2MoSe at its PBEsol-relaxed geometry from Alexandria. Energies are from meta-GGA SCAN.

- Fermi-level density of states: 3.3 states/eV/cell
- Energy relative to the elements, uncorrected: 1.515 eV/f.u.
- Magnetic moment: 1.07 μB/atom

Lattice parameters (Å, degrees): 3.0247 4.1084 4.7997 115.34 108.37 90.00
Closest atoms and distances in Å follow each position.
Fractional coordinates of all 4 atoms:
Fe (0.9832, 0.9832, 0.9664)  2 Se 2.34, 2 Fe 2.55, 4 Mo 2.57
Fe (0.7356, 0.2356, 0.4713)  2 Fe 2.55, 4 Se 2.56, 4 Mo 2.71-2.75
Mo (0.5175, 0.5175, 0.0350)  2 Se 2.51, 8 Fe 2.57-2.75
Se (0.2637, 0.7637, 0.5274)  6 Fe 2.34-2.56, 2 Mo 2.51



7.
Here is FeMoSe2 at its PBEsol-relaxed geometry from Alexandria. Energies are from meta-GGA SCAN.

- Energy above the lowest structure with this stoichiometry: 428 meV per atom
- Fermi-level density of states: 2.6 states/eV/cell
- Energy relative to the elements, uncorrected: 1.619 eV/f.u.
- Magnetic moment: 0.00 μB/atom

Lattice parameters (Å, degrees): 3.0113 4.0912 5.0731 111.94 90.00 90.00
Closest atoms and distances in Å follow each position.
Fractional coordinates of all 4 atoms:
Fe (0.5000, 0.5000, 0.0000)  6 Se 2.54
Mo (0.0000, 0.0000, 0.5000)  6 Se 2.54
Se (0.0000, 0.0000, 0.0000)  2 Mo 2.54, 4 Fe 2.54
Se (0.5000, 0.5000, 0.5000)  2 Fe 2.54, 4 Mo 2.54



8.
Here is FeMoSe2 at its PBEsol-relaxed geometry from Alexandria. Energies are from meta-GGA SCAN.

- Energy above the lowest structure with this stoichiometry: 302 meV per atom
- Fermi-level density of states: 2.5 states/eV/cell
- Energy relative to the elements, uncorrected: 1.113 eV/f.u.
- Magnetic moment: 0.43 μB/atom

Lattice parameters (Å, degrees): 3.0885 4.3036 4.3036 90.00 90.00 90.00
Closest atoms and distances in Å follow each position.
Fractional coordinates of all 4 atoms:
Fe (0.5000, 0.5000, 0.5000)  8 Se 2.65
Mo (0.5000, 0.0000, 0.0000)  8 Se 2.65
Se (0.0000, 0.0000, 0.5000)  4 Fe 2.65, 4 Mo 2.65
Se (0.0000, 0.5000, 0.0000)  4 Mo 2.65, 4 Fe 2.65



9.
Here is FeMoSe2 at its PBEsol-relaxed geometry from Alexandria. Energies are from meta-GGA SCAN.

- Energy above the lowest structure with this stoichiometry: 128 meV per atom
- Fermi-level density of states: 2.6 states/eV/cell
- Energy relative to the elements, uncorrected: 0.420 eV/f.u.
- Magnetic moment: 0.69 μB/atom

Lattice parameters (Å, degrees): 3.1195 3.1195 7.5187 78.03 78.03 60.00
Closest atoms and distances in Å follow each position.
Fractional coordinates of all 4 atoms:
Fe (0.5000, 0.5000, 0.5000)  6 Se 2.54
Mo (0.0000, 0.0000, 0.0000)  6 Se 2.59
Se (0.2486, 0.2486, 0.2543)  3 Fe 2.54, 3 Mo 2.59
Se (0.7514, 0.7514, 0.7457)  3 Fe 2.54, 3 Mo 2.59



10.
Here is Fe2MoSe at its PBEsol-relaxed geometry from Alexandria. Energies are from meta-GGA SCAN.

- Fermi-level density of states: 3.5 states/eV/cell
- Energy relative to the elements, uncorrected: 1.238 eV/f.u.
- Magnetic moment: 1.21 μB/atom

Lattice parameters (Å, degrees): 2.9566 4.2520 4.5370 105.52 109.02 90.00
Closest atoms and distances in Å follow each position.
Fractional coordinates of all 4 atoms:
Fe (0.9983, 0.9479, 0.9966)  3 Fe 2.42-2.49, 4 Mo 2.53-2.65, 2 Se 2.60
Fe (0.2660, 0.8293, 0.5320)  2 Se 2.41, 3 Fe 2.42-2.49
Mo (0.4929, 0.4613, 0.9858)  3 Se 2.52-2.55, 5 Fe 2.53-2.82
Se (0.7428, 0.2615, 0.4856)  4 Fe 2.41-2.60, 3 Mo 2.52-2.55



11.
Here is FeMoSe2 at its PBEsol-relaxed geometry from Alexandria. Energies are from meta-GGA SCAN.

- Energy above the lowest structure with this stoichiometry: 0 meV per atom
- Fermi-level density of states: 3.0 states/eV/cell
- Energy relative to the elements, uncorrected: -0.094 eV/f.u.
- Magnetic moment: 0.49 μB/atom

Lattice parameters (Å, degrees): 2.9959 2.9954 7.4449 90.00 90.00 90.00
Closest atoms and distances in Å follow each position.
Fractional coordinates of all 4 atoms:
Fe (0.0000, 0.0000, 0.4958)  4 Se 2.39
Mo (0.5000, 0.5000, 0.7305)  5 Se 2.57-2.86, 4 Fe 2.75
Se (0.0000, 0.0000, 0.9268)  4 Mo 2.57
Se (0.5000, 0.5000, 0.3469)  4 Fe 2.39



12.
Here is FeSiMo2 at its PBEsol-relaxed geometry from Alexandria. Energies are from meta-GGA SCAN.

- Fermi-level density of states: 2.5 states/eV/cell
- Energy relative to the elements, uncorrected: -0.492 eV/f.u.
- Magnetic moment: 0.49 μB/atom

Lattice parameters (Å, degrees): 3.0981 4.1784 4.8476 115.51 108.64 90.00
Closest atoms and distances in Å follow each position.
Fractional coordinates of all 4 atoms:
Fe (0.2411, 0.7409, 0.4823)  2 Si 2.42, 6 Mo 2.58-2.60
Mo (0.9930, 0.9932, 0.9860)  2 Fe 2.58, 4 Si 2.61, 4 Mo 2.62-2.88
Mo (0.7512, 0.2511, 0.5024)  4 Fe 2.60, 4 Mo 2.62-2.88, 4 Si 2.65-2.85
Si (0.5147, 0.5149, 0.0293)  2 Fe 2.42, 6 Mo 2.61-2.65